# ScMnTe2N

A relaxed ScMnTe2N crystal (PBE, Alexandria).

Cell: 5.359 5.359 3.532 Å, 90.00 90.00 90.00°
Site moments in Bohr magnetons follow the coordinates.
Fractional coordinates of all 5 atoms:
Sc 0.500 0.500 0.500  -0.14
Te 0.000 0.500 0.000  -0.02
Te 0.500 0.000 0.000  -0.02
Mn 0.000 0.000 0.000  1.81
N 0.000 0.000 0.500  -0.25

Values from the calculation:
Space-group type: P4/mmm, No. 123
Crystal system: tetragonal
Formation energy without anion corrections (eV/atom): -0.196
Energy above the lowest structure with this stoichiometry (meV per atom): 0
Size of the total moment (μB per cell): 1.3